Arrangement w

Below is SiBRhAuCS after structural relaxation, with properties calculated at the PBE level.

The structure belongs to space group Cm (No. 8); the cell edges are 11.1900, 2.8220 and 6.8277 Å and the angles 90.00°, 124.68° and 90.00°. The inequivalent atoms are Si at (0.0000, 0.0000, 0.0000), B at (0.2348, 0.5000, 0.5109), Rh at (0.3985, 0.0000, 0.6636), Au at (0.2289, 0.5000, 0.1704), C at (0.4557, 0.5000, 0.2338) and S at (0.0442, 0.5000, 0.4365).


Arrangement x

Below is SiBRhAuCS after structural relaxation, with properties calculated at the PBE level.

The structure belongs to space group P1 (No. 1); the cell edges are 4.1141, 4.9435 and 5.1013 Å and the angles 85.49°, 71.30° and 76.91°. The inequivalent atoms are Si at (0.0000, 0.0000, 0.0000), B at (0.1466, 0.5519, 0.0233), Rh at (0.5970, 0.7119, 0.9975), Au at (0.5354, 0.4755, 0.5418), C at (0.9035, 0.3588, 0.1262) and S at (0.4504, 0.9931, 0.6316).


It turns out arrangement x is the most stable, with the second structure 50 meV per atom higher.


Arrangement w

Below is Cu2HgBr after structural relaxation, with properties calculated at the PBE level.

The structure belongs to space group Immm (No. 71); the cell edges are 3.2521, 6.5798 and 8.1362 Å and the angles 90.00°, 90.00° and 90.00°. The inequivalent atoms are Cu at (0.0000, 0.0000, 0.2437), Hg at (0.0000, 0.5000, 0.0000) and Br at (0.0000, 0.5000, 0.5000).


Arrangement x

Below is Cu2HgBr after structural relaxation, with properties calculated at the PBE level.

The structure belongs to space group Pmm2 (No. 25); the cell edges are 3.4988, 4.3126 and 6.0322 Å and the angles 90.00°, 90.00° and 90.00°. The inequivalent atoms are Cu at (0.0000, 0.0000, 0.0000), Cu at (0.5000, 0.0000, 0.3003), Hg at (0.0000, 0.5000, 0.2545) and Br at (0.5000, 0.0000, 0.7143).


It turns out arrangement x is the most stable, with the second structure 259 meV per atom higher.